# K3GaBi | Alexandria via LeMat-Bulk | PBE | optimized geometry
data_K3GaBi
_chemical_formula_sum 'K6 Ga2 Bi2'
_cell_length_a 8.570
_cell_length_b 8.570
_cell_length_c 8.570
_cell_angle_alpha 91.04
_cell_angle_beta 126.15
_cell_angle_gamma 113.08
_space_group_name_H-M_alt 'P 1'
_space_group_IT_number 1
_space_group_name_Hall 'P 1'
loop_
_atom_site_label
_atom_site_fract_x
_atom_site_fract_y
_atom_site_fract_z
K1 0.983 0.211 0.724
K2 0.983 0.759 0.272
K3 0.487 0.711 0.728
K4 0.003 0.235 0.268
K5 0.487 0.259 0.276
K6 0.967 0.735 0.732
Ga1 0.395 0.078 0.817
Ga2 0.261 0.578 0.183
Bi1 0.545 0.875 0.170
Bi2 0.705 0.375 0.830
# Energy of formation ... -0.115 eV per atom
# Volume ... 44.05 A^3/atom
# Magnetization ... 0.004 μB per cell

# KGa2Bi2 | Alexandria via LeMat-Bulk | PBE | optimized geometry
data_KGa2Bi2
_chemical_formula_sum 'K2 Ga4 Bi4'
_cell_length_a 8.527
_cell_length_b 8.527
_cell_length_c 3.983
_cell_angle_alpha 90.00
_cell_angle_beta 90.00
_cell_angle_gamma 90.00
_space_group_name_H-M_alt 'P 1'
_space_group_IT_number 1
_space_group_name_Hall 'P 1'
loop_
_atom_site_label
_atom_site_fract_x
_atom_site_fract_y
_atom_site_fract_z
K1 0.000 0.000 0.000
K2 0.500 0.500 0.000
Bi1 0.150 0.650 0.500
Bi2 0.650 0.850 0.500
Bi3 0.850 0.350 0.500
Bi4 0.350 0.150 0.500
Ga1 0.374 0.874 0.000
Ga2 0.874 0.626 0.000
Ga3 0.626 0.126 0.000
Ga4 0.126 0.374 0.000
# Energy of formation ... -0.077 eV per atom
# Volume ... 28.96 A^3/atom
# Magnetization ... 0.000 μB per cell

Which formula does entry 1 have? K3GaBi

Copy entry 1 word for word.
# K3GaBi | Alexandria via LeMat-Bulk | PBE | optimized geometry
data_K3GaBi
_chemical_formula_sum 'K6 Ga2 Bi2'
_cell_length_a 8.570
_cell_length_b 8.570
_cell_length_c 8.570
_cell_angle_alpha 91.04
_cell_angle_beta 126.15
_cell_angle_gamma 113.08
_space_group_name_H-M_alt 'P 1'
_space_group_IT_number 1
_space_group_name_Hall 'P 1'
loop_
_atom_site_label
_atom_site_fract_x
_atom_site_fract_y
_atom_site_fract_z
K1 0.983 0.211 0.724
K2 0.983 0.759 0.272
K3 0.487 0.711 0.728
K4 0.003 0.235 0.268
K5 0.487 0.259 0.276
K6 0.967 0.735 0.732
Ga1 0.395 0.078 0.817
Ga2 0.261 0.578 0.183
Bi1 0.545 0.875 0.170
Bi2 0.705 0.375 0.830
# Energy of formation ... -0.115 eV per atom
# Volume ... 44.05 A^3/atom
# Magnetization ... 0.004 μB per cell

energy of formation of number 1 (K3GaBi)? -0.115 eV per atom